No. 1
The following is a DFT calculation (GGA-PBE) of a relaxed structure of Ta4TlTc.

The space group is F-43m (No. 216) and the conventional cell measures 7.6889, 7.6889 and 7.6889 Å, with angles of 90.00, 90.00 and 90.00 degrees. The asymmetric unit holds Ta at (0.1244, 0.1244, 0.1244), Tl at (0.0000, 0.0000, 0.5000) and Tc at (0.2500, 0.2500, 0.7500).

=====

No. 2
The following is a DFT calculation (GGA-PBE) of a relaxed structure of TaTl2Tc.

The energy relative to the lowest polymorph listed for this composition comes out at 554 meV/atom.

The space group is Cmmm (No. 65) and the conventional cell measures 5.9184, 8.9236 and 3.0282 Å, with angles of 90.00, 90.00 and 90.00 degrees. The asymmetric unit holds Ta at (0.0000, 0.0000, 0.0000), Tl at (0.2500, 0.2500, 0.5000) and Tc at (0.0000, 0.5000, 0.0000).

=====

No. 3
The following is a DFT calculation (GGA-PBE) of a relaxed structure of TaTl2Tc.

The energy relative to the lowest polymorph listed for this composition comes out at 556 meV/atom.

The space group is Fm-3m (No. 225) and the conventional cell measures 6.7448, 6.7448 and 6.7448 Å, with angles of 90.00, 90.00 and 90.00 degrees. The asymmetric unit holds Ta at (0.0000, 0.0000, 0.0000), Tl at (0.2500, 0.2500, 0.2500) and Tc at (0.0000, 0.0000, 0.5000).

=====

No. 4
The following is a DFT calculation (GGA-PBE) of a relaxed structure of TaTl2Tc.

The energy relative to the lowest polymorph listed for this composition comes out at 17 meV/atom.

The space group is P4mm (No. 99) and the conventional cell measures 3.2180, 3.2180 and 8.5304 Å, with angles of 90.00, 90.00 and 90.00 degrees. The asymmetric unit holds Ta at (0.0000, 0.0000, 0.0000), Tl at (0.0000, 0.0000, 0.4007), Tl at (0.5000, 0.5000, 0.7279) and Tc at (0.5000, 0.5000, 0.1528).

=====

No. 5
The following is a DFT calculation (GGA-PBE) of a relaxed structure of TaTl2Tc.

The energy relative to the lowest polymorph listed for this composition comes out at 476 meV/atom.

The space group is I-4m2 (No. 119) and the conventional cell measures 4.2523, 4.2523 and 8.6261 Å, with angles of 90.00, 90.00 and 90.00 degrees. The asymmetric unit holds Ta at (0.0000, 0.0000, 0.0000), Tl at (0.0000, 0.0000, 0.5000), Tl at (0.0000, 0.5000, 0.2500) and Tc at (0.0000, 0.5000, 0.7500).

=====

No. 6
The following is a DFT calculation (GGA-PBE) of a relaxed structure of TaTl2Tc.

The energy relative to the lowest polymorph listed for this composition comes out at 606 meV/atom.

The space group is P4/mmm (No. 123) and the conventional cell measures 4.8538, 4.8538 and 3.2797 Å, with angles of 90.00, 90.00 and 90.00 degrees. The asymmetric unit holds Ta at (0.0000, 0.0000, 0.0000), Tl at (0.0000, 0.5000, 0.5000) and Tc at (0.5000, 0.5000, 0.0000).

=====

No. 7
The following is a DFT calculation (GGA-PBE) of a relaxed structure of TaTlTc2.

The energy relative to the lowest polymorph listed for this composition comes out at 130 meV/atom.

The space group is Imm2 (No. 44) and the conventional cell measures 3.2820, 4.4817 and 9.3188 Å, with angles of 90.00, 90.00 and 90.00 degrees. The asymmetric unit holds Ta at (0.0000, 0.0000, 0.0000), Tl at (0.0000, 0.5000, 0.2324), Tc at (0.0000, 0.0000, 0.4742) and Tc at (0.0000, 0.5000, 0.7359).

=====

No. 8
The following is a DFT calculation (GGA-PBE) of a relaxed structure of TaTlTc2.

The energy relative to the lowest polymorph listed for this composition comes out at 185 meV/atom.

The space group is P2/m (No. 10) and the conventional cell measures 2.9526, 4.1397 and 5.8786 Å, with angles of 90.00, 98.87 and 90.00 degrees. The asymmetric unit holds Ta at (0.0000, 0.0000, 0.0000), Tl at (0.0000, 0.0000, 0.5000) and Tc at (0.3926, 0.5000, 0.2192).

=====

No. 9
The following is a DFT calculation (GGA-PBE) of a relaxed structure of UTaTc2.

The space group is P4/mmm (No. 123) and the conventional cell measures 4.6520, 4.6520 and 3.2371 Å, with angles of 90.00, 90.00 and 90.00 degrees. The asymmetric unit holds U at (0.0000, 0.0000, 0.0000), Ta at (0.5000, 0.5000, 0.0000) and Tc at (0.0000, 0.5000, 0.5000).

=====

No. 10
The following is a DFT calculation (GGA-PBE) of a relaxed structure of UTaTc.

The energy relative to the lowest polymorph listed for this composition comes out at 956 meV/atom.

The space group is I4mm (No. 107) and the conventional cell measures 2.6888, 2.6888 and 15.6925 Å, with angles of 90.00, 90.00 and 90.00 degrees. The asymmetric unit holds U at (0.0000, 0.0000, 0.0000), Ta at (0.0000, 0.0000, 0.1770) and Tc at (0.0000, 0.0000, 0.3420).

=====

No. 11
The following is a DFT calculation (GGA-PBE) of a relaxed structure of UTa2Tc.

The space group is P4/mmm (No. 123) and the conventional cell measures 3.1037, 3.1037 and 7.7663 Å, with angles of 90.00, 90.00 and 90.00 degrees. The asymmetric unit holds U at (0.0000, 0.0000, 0.0000), Ta at (0.5000, 0.5000, 0.2914) and Tc at (0.0000, 0.0000, 0.5000).

=====

No. 12
The following is a DFT calculation (GGA-PBE) of a relaxed structure of UTaTc.

The energy relative to the lowest polymorph listed for this composition comes out at 0 meV/atom.

The space group is Cmcm (No. 63) and the conventional cell measures 3.1271, 14.2871 and 4.7900 Å, with angles of 90.00, 90.00 and 90.00 degrees. The asymmetric unit holds U at (0.0000, 0.2411, 0.2500), Ta at (0.0000, 0.0737, 0.7500) and Tc at (0.0000, 0.4215, 0.7500).

=====

No. 13
The following is a DFT calculation (GGA-PBE) of a relaxed structure of TaVTc.

The energy relative to the lowest polymorph listed for this composition comes out at 45 meV/atom.

The space group is P-1 (No. 2) and the conventional cell measures 4.4049, 5.1986 and 5.2363 Å, with angles of 62.06, 65.16 and 65.08 degrees. The asymmetric unit holds Ta at (0.1710, 0.4133, 0.2444), V at (0.4903, 0.7575, 0.2626) and Tc at (0.1663, 0.9170, 0.7507).

=====

No. 14
The following is a DFT calculation (GGA-PBE) of a relaxed structure of Ta2V2Tc.

The energy relative to the lowest polymorph listed for this composition comes out at 87 meV/atom.

The space group is P4/mbm (No. 127) and the conventional cell measures 6.2059, 6.2059 and 4.2361 Å, with angles of 90.00, 90.00 and 90.00 degrees. The asymmetric unit holds Ta at (0.1702, 0.3298, 0.0000), V at (0.1427, 0.6427, 0.5000) and Tc at (0.0000, 0.0000, 0.5000).

=====

No. 15
The following is a DFT calculation (GGA-PBE) of a relaxed structure of TaVTc.

The energy relative to the lowest polymorph listed for this composition comes out at 0 meV/atom.

The space group is I4mm (No. 107) and the conventional cell measures 3.1147, 3.1147 and 9.4686 Å, with angles of 90.00, 90.00 and 90.00 degrees. The asymmetric unit holds Ta at (0.0000, 0.0000, 0.0000), V at (0.0000, 0.0000, 0.6743) and Tc at (0.0000, 0.0000, 0.3292).

=====

No. 16
The following is a DFT calculation (GGA-PBE) of a relaxed structure of Ta2V2Tc.

The energy relative to the lowest polymorph listed for this composition comes out at 382 meV/atom.

The space group is P4/mbm (No. 127) and the conventional cell measures 7.0222, 7.0222 and 3.3362 Å, with angles of 90.00, 90.00 and 90.00 degrees. The asymmetric unit holds Ta at (0.1516, 0.3484, 0.0000), V at (0.1494, 0.6494, 0.5000) and Tc at (0.0000, 0.0000, 0.0000).

=====

No. 17
The following is a DFT calculation (GGA-PBE) of a relaxed structure of Ta6V2Tc.

The space group is C2/m (No. 12) and the conventional cell measures 13.6837, 6.1387 and 4.3607 Å, with angles of 90.00, 108.46 and 90.00 degrees. The asymmetric unit holds Ta at (0.0000, 0.2445, 0.0000), Ta at (0.1675, 0.2476, 0.6674), V at (0.1665, 0.0000, 0.1664) and Tc at (0.0000, 0.5000, 0.5000).

=====

No. 18
The following is a DFT calculation (GGA-PBE) of a relaxed structure of TaVTc.

The energy relative to the lowest polymorph listed for this composition comes out at 114 meV/atom.

The space group is P3m1 (No. 156) and the conventional cell measures 4.3564, 4.3564 and 2.8088 Å, with angles of 90.00, 90.00 and 120.00 degrees. The asymmetric unit holds Ta at (0.0000, 0.0000, 0.0000), V at (0.3333, 0.6667, 0.3607) and Tc at (0.6667, 0.3333, 0.6711).

=====

No. 19
The following is a DFT calculation (GGA-PBE) of a relaxed structure of Ta2V2Tc.

The energy relative to the lowest polymorph listed for this composition comes out at 0 meV/atom.

The space group is Cmmm (No. 65) and the conventional cell measures 3.2790, 15.5765 and 3.1178 Å, with angles of 90.00, 90.00 and 90.00 degrees. The asymmetric unit holds Ta at (0.0000, 0.1032, 0.0000), V at (0.0000, 0.3016, 0.5000) and Tc at (0.0000, 0.5000, 0.5000).

=====

No. 20
The following is a DFT calculation (GGA-PBE) of a relaxed structure of Ta2V2Tc.

The energy relative to the lowest polymorph listed for this composition comes out at 385 meV/atom.

The space group is I4/mmm (No. 139) and the conventional cell measures 3.2425, 3.2425 and 15.7226 Å, with angles of 90.00, 90.00 and 90.00 degrees. The asymmetric unit holds Ta at (0.0000, 0.0000, 0.0983), V at (0.0000, 0.5000, 0.2500) and Tc at (0.0000, 0.0000, 0.5000).

=====

No. 21
The following is a DFT calculation (GGA-PBE) of a relaxed structure of TaV2Tc2.

The energy relative to the lowest polymorph listed for this composition comes out at 119 meV/atom.

The space group is P4/mbm (No. 127) and the conventional cell measures 7.2496, 7.2496 and 2.8762 Å, with angles of 90.00, 90.00 and 90.00 degrees. The asymmetric unit holds Ta at (0.0000, 0.0000, 0.0000), V at (0.1437, 0.3563, 0.0000) and Tc at (0.1590, 0.6590, 0.5000).

=====

No. 22
The following is a DFT calculation (GGA-PBE) of a relaxed structure of Ta3V3Tc2.

The space group is P-62m (No. 189) and the conventional cell measures 7.0421, 7.0421 and 3.1086 Å, with angles of 90.00, 90.00 and 120.00 degrees. The asymmetric unit holds Ta at (0.0000, 0.5667, 0.0000), V at (0.0000, 0.2026, 0.5000) and Tc at (0.3333, 0.6667, 0.5000).

=====

No. 23
The following is a DFT calculation (GGA-PBE) of a relaxed structure of Ta6VTc.

The space group is I4/mmm (No. 139) and the conventional cell measures 4.5654, 4.5654 and 13.1697 Å, with angles of 90.00, 90.00 and 90.00 degrees. The asymmetric unit holds Ta at (0.0000, 0.0000, 0.2462), Ta at (0.0000, 0.5000, 0.1185), V at (0.0000, 0.0000, 0.0000) and Tc at (0.0000, 0.0000, 0.5000).

=====

No. 24
The following is a DFT calculation (GGA-PBE) of a relaxed structure of Ta3VTc2.

The space group is P4/mmm (No. 123) and the conventional cell measures 3.1749, 3.1749 and 9.5837 Å, with angles of 90.00, 90.00 and 90.00 degrees. The asymmetric unit holds Ta at (0.0000, 0.0000, 0.0000), Ta at (0.0000, 0.0000, 0.3330), V at (0.5000, 0.5000, 0.5000) and Tc at (0.5000, 0.5000, 0.1663).

=====

No. 25
The following is a DFT calculation (GGA-PBE) of a relaxed structure of Ta3VTc4.

The space group is P4/mmm (No. 123) and the conventional cell measures 3.1547, 3.1547 and 12.5965 Å, with angles of 90.00, 90.00 and 90.00 degrees. The asymmetric unit holds Ta at (0.0000, 0.0000, 0.0000), Ta at (0.0000, 0.0000, 0.2553), V at (0.0000, 0.0000, 0.5000), Tc at (0.5000, 0.5000, 0.1273) and Tc at (0.5000, 0.5000, 0.3821).

=====

No. 26
The following is a DFT calculation (GGA-PBE) of a relaxed structure of TaV2Tc2.

The energy relative to the lowest polymorph listed for this composition comes out at 0 meV/atom.

The space group is Cmmm (No. 65) and the conventional cell measures 3.1559, 15.7268 and 3.0899 Å, with angles of 90.00, 90.00 and 90.00 degrees. The asymmetric unit holds Ta at (0.0000, 0.0000, 0.0000), V at (0.0000, 0.1905, 0.0000) and Tc at (0.0000, 0.3960, 0.5000).

=====

No. 27
The following is a DFT calculation (GGA-PBE) of a relaxed structure of Ta6VTc5.

The space group is Immm (No. 71) and the conventional cell measures 4.5016, 6.3636 and 13.5136 Å, with angles of 90.00, 90.00 and 90.00 degrees. The asymmetric unit holds Ta at (0.0000, 0.2490, 0.0000), Ta at (0.0000, 0.2507, 0.3337), V at (0.0000, 0.5000, 0.5000), Tc at (0.0000, 0.0000, 0.1667), Tc at (0.0000, 0.0000, 0.5000) and Tc at (0.0000, 0.5000, 0.1667).

=====

no.,energy of formation (eV/atom),E (eV/atom)
1,0.525,-9.4991
2,0.835,-5.9032
3,0.837,-5.9011
4,0.298,-6.4402
5,0.757,-5.9813
6,0.887,-5.8508
7,0.323,-8.4145
8,0.378,-8.3596
9,-0.192,-11.1597
10,0.813,-10.3556
11,0.013,-11.3269
12,-0.143,-11.3120
13,-0.281,-10.7270
14,0.155,-10.3070
15,-0.326,-10.7722
16,0.449,-10.0125
17,0.574,-10.5061
18,-0.213,-10.6584
19,0.068,-10.3941
20,0.453,-10.0088
21,0.086,-10.0780
22,0.257,-10.1983
23,-0.130,-11.4548
24,-0.359,-11.2606
25,-0.441,-11.2082
26,-0.033,-10.1975
27,-0.427,-11.4321